{
  "formula": "Cs4H3Au",
  "functional": "PBE",
  "state": "relaxed",
  "lattice_angstrom": [[4.640, 0.000, 0.000], [0.000, 6.816, 0.000], [0.000, 0.000, 9.534]],
  "species": ["Cs", "Cs", "Au", "Cs", "H", "Cs", "H", "H"],
  "frac_coords": [[0.500, 0.000, 0.282], [0.000, 0.500, 0.000], [0.000, 0.000, 0.000], [0.000, 0.500, 0.500], [0.000, 0.000, 0.500], [0.500, 0.000, 0.718], [0.500, 0.500, 0.737], [0.500, 0.500, 0.263]],
  "final_energy_ev_per_atom": -2.28,
  "space_group": "Pmmm, No. 47"
}

=====

{
  "formula": "Cs3H4Au2",
  "functional": "PBE",
  "state": "relaxed",
  "lattice_angstrom": [[4.945, 0.000, 1.476], [1.679, 6.730, 3.397], [0.395, -0.444, 7.700]],
  "species": ["Au", "Cs", "Au", "Cs", "H", "H", "Cs", "H", "H"],
  "frac_coords": [[0.000, 0.795, 0.205], [0.688, 0.812, 0.812], [0.000, 0.205, 0.795], [0.500, 0.500, 0.500], [0.141, 0.649, 0.069], [0.859, 0.351, 0.931], [0.312, 0.188, 0.188], [0.141, 0.069, 0.649], [0.859, 0.931, 0.351]],
  "final_energy_ev_per_atom": -2.76,
  "space_group": "Immm, No. 71"
}

=====

{
  "formula": "CsH3Au",
  "functional": "PBE",
  "state": "relaxed",
  "lattice_angstrom": [[4.122, 0.000, 0.000], [0.000, 4.122, 0.000], [0.000, 0.000, 4.122]],
  "species": ["Au", "H", "Cs", "H", "H"],
  "frac_coords": [[0.000, 0.000, 0.000], [0.000, 0.500, 0.000], [0.500, 0.500, 0.500], [0.500, 0.000, 0.000], [0.000, 0.000, 0.500]],
  "final_energy_ev_per_atom": -2.77,
  "space_group": "Pm-3m, No. 221"
}

=====

{
  "formula": "Cs8HAu5",
  "functional": "PBE",
  "state": "relaxed",
  "lattice_angstrom": [[2.824, -4.053, -8.020], [0.809, -6.073, 7.155], [-8.992, 2.614, -1.026]],
  "species": ["Cs", "Au", "Cs", "Cs", "Au", "Cs", "Au", "Cs", "Cs", "Au", "Cs", "H", "Au", "Cs"],
  "frac_coords": [[0.486, 0.604, 0.242], [0.008, 0.378, 0.133], [0.638, 0.396, 0.882], [0.118, 0.755, 0.514], [0.754, 0.622, 0.630], [0.758, 0.245, 0.362], [0.500, 0.000, 0.500], [0.140, 0.740, 0.004], [0.996, 0.136, 0.736], [0.370, 0.125, 0.992], [0.600, 0.864, 0.860], [0.250, 0.500, 0.750], [0.867, 0.875, 0.246], [0.264, 0.260, 0.400]],
  "final_energy_ev_per_atom": -2.14,
  "space_group": "I-4, No. 82"
}

=====

{
  "formula": "CsH6Au",
  "functional": "PBE",
  "state": "relaxed",
  "lattice_angstrom": [[5.036, 0.202, 2.198], [1.612, 4.782, 2.195], [0.360, 0.274, 5.586]],
  "species": ["Au", "H", "H", "H", "H", "H", "Cs", "H"],
  "frac_coords": [[0.500, 0.500, 0.500], [0.841, 0.434, 0.447], [0.433, 0.841, 0.447], [0.426, 0.426, 0.840], [0.159, 0.566, 0.553], [0.574, 0.574, 0.160], [0.000, 0.000, 0.000], [0.567, 0.159, 0.553]],
  "final_energy_ev_per_atom": -3.04,
  "space_group": "C2/m, No. 12"
}

=====

{
  "formula": "Cs2H6Au3",
  "functional": "PBE",
  "state": "relaxed",
  "lattice_angstrom": [[4.815, 0.000, 1.343], [2.590, 15.707, 0.017], [0.758, 1.146, 6.585]],
  "species": ["H", "Au", "H", "H", "H", "Au", "Au", "H", "Cs", "Au", "H", "Cs", "Cs", "Au", "Au", "H", "H", "H", "H", "Cs", "H", "H"],
  "frac_coords": [[0.884, 0.707, 0.508], [0.431, 0.328, 0.826], [0.100, 0.793, 0.992], [0.990, 0.479, 0.540], [0.322, 0.923, 0.418], [0.008, 0.250, 0.750], [0.415, 0.828, 0.326], [0.991, 0.979, 0.040], [0.306, 0.616, 0.757], [0.585, 0.172, 0.674], [0.010, 0.521, 0.460], [0.694, 0.384, 0.243], [0.679, 0.884, 0.743], [0.992, 0.750, 0.250], [0.569, 0.672, 0.174], [0.678, 0.077, 0.582], [0.900, 0.207, 0.008], [0.338, 0.423, 0.918], [0.116, 0.293, 0.492], [0.321, 0.116, 0.257], [0.662, 0.577, 0.082], [0.009, 0.021, 0.960]],
  "final_energy_ev_per_atom": -3.05,
  "space_group": "C2/c, No. 15"
}

=====

{
  "formula": "Cs2Hg2H2Au",
  "functional": "PBE",
  "state": "relaxed",
  "lattice_angstrom": [[-2.062, -4.862, -1.340], [5.905, -2.750, 0.880], [0.673, -4.757, 5.141]],
  "species": ["H", "Hg", "Cs", "H", "Hg", "Cs", "Au"],
  "frac_coords": [[0.850, 0.851, 0.300], [0.500, 0.250, 0.999], [0.802, 0.301, 0.397], [0.150, 0.149, 0.700], [0.500, 0.750, 0.001], [0.198, 0.699, 0.603], [0.000, 0.000, 0.000]],
  "final_energy_ev_per_atom": -1.99,
  "space_group": "C2/m, No. 12"
}

=====

{
  "formula": "CsHgHAu2",
  "functional": "PBE",
  "state": "relaxed",
  "lattice_angstrom": [[-0.634, -4.114, -1.769], [4.577, -2.015, 3.048], [-2.749, -1.053, 3.433]],
  "species": ["Au", "Hg", "Au", "Cs", "H"],
  "frac_coords": [[0.000, 0.000, 0.500], [0.500, 0.500, 0.500], [0.500, 0.000, 0.000], [0.000, 0.500, 0.000], [0.000, 0.000, 0.000]],
  "final_energy_ev_per_atom": -1.94,
  "space_group": "P4/mmm, No. 123"
}

=====

{
  "formula": "Cs6HAu2I",
  "functional": "PBE",
  "state": "relaxed",
  "lattice_angstrom": [[-8.392, -2.705, -0.780], [-4.076, -3.823, 6.864], [-6.872, 5.486, 4.687]],
  "species": ["Cs", "I", "Au", "Cs", "H", "Cs", "Cs", "Cs", "Cs", "Au"],
  "frac_coords": [[0.402, 0.709, 0.769], [0.824, 0.824, 0.527], [0.003, 0.003, 0.991], [0.569, 0.244, 0.239], [0.332, 0.332, 0.003], [0.948, 0.569, 0.239], [0.120, 0.402, 0.770], [0.709, 0.119, 0.770], [0.244, 0.948, 0.239], [0.510, 0.510, 0.469]],
  "final_energy_ev_per_atom": -2.08,
  "space_group": "R3, No. 146"
}

=====

{
  "formula": "Cs4HAu2I",
  "functional": "PBE",
  "state": "relaxed",
  "lattice_angstrom": [[-3.830, 1.748, -3.062], [-3.310, -0.189, 8.459], [5.577, 16.694, 2.555]],
  "species": ["Cs", "Cs", "H", "Cs", "I", "Au", "Cs", "Au", "Cs", "H", "Cs", "Cs", "Au", "Cs", "Au", "I"],
  "frac_coords": [[0.737, 0.474, 0.628], [0.263, 0.526, 0.128], [0.151, 0.303, 0.250], [0.000, 0.000, 0.000], [0.115, 0.229, 0.750], [0.632, 0.265, 0.050], [0.737, 0.474, 0.872], [0.368, 0.735, 0.550], [0.263, 0.526, 0.372], [0.849, 0.697, 0.750], [0.000, 0.000, 0.500], [0.436, 0.873, 0.750], [0.632, 0.265, 0.450], [0.564, 0.127, 0.250], [0.368, 0.735, 0.950], [0.885, 0.771, 0.250]],
  "final_energy_ev_per_atom": -2.42,
  "space_group": "Cmcm, No. 63"
}

=====

{
  "formula": "Cs5HAuI2",
  "functional": "PBE",
  "state": "relaxed",
  "lattice_angstrom": [[-4.986, 0.121, -2.002], [3.075, -10.443, -1.075], [-6.622, -3.626, 16.271]],
  "species": ["Cs", "I", "I", "Cs", "Cs", "Cs", "Au", "Cs", "Cs", "Cs", "Au", "I", "Cs", "I", "H", "Cs", "H", "Cs"],
  "frac_coords": [[0.298, 0.596, 0.410], [0.081, 0.163, 0.643], [0.123, 0.246, 0.325], [0.702, 0.404, 0.910], [0.735, 0.470, 0.187], [0.508, 0.015, 0.775], [0.220, 0.440, 0.047], [0.617, 0.233, 0.489], [0.058, 0.115, 0.010], [0.265, 0.530, 0.687], [0.780, 0.560, 0.547], [0.919, 0.837, 0.143], [0.383, 0.767, 0.989], [0.877, 0.754, 0.825], [0.539, 0.079, 0.938], [0.492, 0.985, 0.275], [0.461, 0.921, 0.438], [0.942, 0.885, 0.510]],
  "final_energy_ev_per_atom": -2.31,
  "space_group": "Cmc2_1, No. 36"
}

=====

{
  "formula": "Cs8HAu3I3",
  "functional": "PBE",
  "state": "relaxed",
  "lattice_angstrom": [[-7.347, 3.738, 6.582], [6.775, -7.376, 3.298], [3.544, 10.013, -1.731]],
  "species": ["Cs", "Cs", "I", "Cs", "Cs", "I", "Cs", "Au", "Cs", "Au", "I", "H", "Au", "Cs", "Cs"],
  "frac_coords": [[0.771, 0.542, 0.281], [0.256, 0.512, 0.268], [0.000, 0.000, 0.000], [0.239, 0.010, 0.281], [0.744, 0.488, 0.732], [0.000, 0.500, 0.000], [0.229, 0.990, 0.719], [0.500, 0.500, 0.500], [0.761, 0.990, 0.719], [0.000, 0.500, 0.500], [0.500, 0.500, 0.000], [0.000, 0.000, 0.500], [0.500, 0.000, 0.500], [0.771, 0.010, 0.281], [0.229, 0.458, 0.719]],
  "final_energy_ev_per_atom": -2.39,
  "space_group": "R-3m, No. 166"
}

=====

{
  "formula": "Cs4HAuI",
  "functional": "PBE",
  "state": "relaxed",
  "lattice_angstrom": [[-2.504, 5.087, -1.268], [-2.314, 0.188, 5.326], [10.585, 2.231, 1.351]],
  "species": ["I", "Cs", "Au", "Cs", "H", "Cs", "Cs"],
  "frac_coords": [[0.371, 0.371, 0.742], [0.511, 0.011, 0.021], [0.631, 0.631, 0.262], [0.822, 0.822, 0.643], [0.976, 0.976, 0.951], [0.011, 0.511, 0.021], [0.180, 0.180, 0.360]],
  "final_energy_ev_per_atom": -2.20,
  "space_group": "I4mm, No. 107"
}

=====

{
  "formula": "Cs2HAuI6",
  "functional": "PBE",
  "state": "relaxed",
  "lattice_angstrom": [[8.731, 0.000, 0.000], [0.000, 8.731, 0.000], [4.365, 4.365, 5.671]],
  "species": ["I", "I", "Cs", "Cs", "I", "H", "I", "Au", "I", "I"],
  "frac_coords": [[0.783, 0.217, 0.000], [0.217, 0.783, 0.000], [0.250, 0.750, 0.500], [0.750, 0.250, 0.500], [0.330, 0.330, 0.340], [0.500, 0.500, 0.000], [0.217, 0.217, 0.000], [0.000, 0.000, 0.000], [0.783, 0.783, 0.000], [0.670, 0.670, 0.660]],
  "final_energy_ev_per_atom": -2.43,
  "space_group": "I4/mmm, No. 139"
}

=====

{
  "formula": "Cs4HAuI2",
  "functional": "PBE",
  "state": "relaxed",
  "lattice_angstrom": [[5.243, 0.000, 0.000], [0.000, 9.151, -0.220], [0.000, 3.185, 8.513]],
  "species": ["I", "Cs", "H", "Au", "I", "Cs", "Cs", "Cs"],
  "frac_coords": [[0.000, 0.000, 0.000], [0.500, 0.725, 0.244], [0.500, 0.500, 0.000], [0.000, 0.500, 0.500], [0.500, 0.000, 0.500], [0.000, 0.279, 0.230], [0.000, 0.721, 0.770], [0.500, 0.275, 0.756]],
  "final_energy_ev_per_atom": -2.51,
  "space_group": "P2/m, No. 10"
}

=====

{
  "formula": "Cs3HAuI",
  "functional": "PBE",
  "state": "relaxed",
  "lattice_angstrom": [[5.217, 0.000, 0.000], [-2.608, 8.484, 0.000], [0.000, 0.000, 13.853]],
  "species": ["Cs", "I", "Cs", "H", "I", "Au", "Cs", "Cs", "Cs", "Au", "Cs", "H"],
  "frac_coords": [[0.370, 0.740, 0.910], [0.250, 0.499, 0.250], [0.370, 0.740, 0.590], [0.475, 0.949, 0.750], [0.750, 0.501, 0.750], [0.000, 0.000, 0.500], [0.630, 0.260, 0.410], [0.933, 0.866, 0.250], [0.630, 0.260, 0.090], [0.000, 0.000, 0.000], [0.067, 0.134, 0.750], [0.525, 0.051, 0.250]],
  "final_energy_ev_per_atom": -2.43,
  "space_group": "Cmcm, No. 63"
}

=====

{
  "formula": "Cs2InH6Au",
  "functional": "PBE",
  "state": "relaxed",
  "lattice_angstrom": [[5.731, 0.000, 0.000], [0.000, 5.731, 0.000], [2.865, 2.865, 5.107]],
  "species": ["H", "H", "Au", "H", "Cs", "Cs", "H", "H", "In", "H"],
  "frac_coords": [[0.811, 0.811, 0.378], [0.723, 0.277, 0.000], [0.500, 0.500, 0.000], [0.277, 0.723, 0.000], [0.750, 0.250, 0.500], [0.250, 0.750, 0.500], [0.189, 0.189, 0.622], [0.723, 0.723, 0.000], [0.000, 0.000, 0.000], [0.277, 0.277, 0.000]],
  "final_energy_ev_per_atom": -2.81,
  "space_group": "I4/mmm, No. 139"
}

=====

{
  "formula": "Cs2HIrAu",
  "functional": "PBE",
  "state": "relaxed",
  "lattice_angstrom": [[-3.872, 4.658, -2.243], [1.162, -0.615, -3.283], [-4.714, -4.331, -0.858]],
  "species": ["Cs", "H", "Cs", "Ir", "Au"],
  "frac_coords": [[0.500, 0.000, 0.000], [0.000, 0.000, 0.000], [0.000, 0.000, 0.500], [0.500, 0.500, 0.500], [0.000, 0.500, 0.000]],
  "final_energy_ev_per_atom": -2.84,
  "space_group": "P4/mmm, No. 123"
}

=====

{
  "formula": "CsH6IrAu",
  "functional": "PBE",
  "state": "relaxed",
  "lattice_angstrom": [[5.098, 0.000, 0.000], [2.549, 4.415, 0.001], [0.000, 0.000, 5.782]],
  "species": ["H", "H", "H", "Au", "Ir", "H", "H", "Cs", "H"],
  "frac_coords": [[0.476, 0.480, 0.311], [0.480, 0.044, 0.311], [0.044, 0.476, 0.311], [0.667, 0.667, 0.502], [0.333, 0.333, 0.499], [0.476, 0.043, 0.689], [0.480, 0.476, 0.689], [0.000, 0.000, 0.000], [0.043, 0.480, 0.689]],
  "final_energy_ev_per_atom": -3.70,
  "space_group": "P3, No. 143"
}

=====

{
  "formula": "Cs3KHAu2",
  "functional": "PBE",
  "state": "relaxed",
  "lattice_angstrom": [[5.398, 0.000, 0.000], [0.000, 5.783, 0.000], [-2.699, -2.892, 9.444]],
  "species": ["H", "Cs", "Cs", "K", "Au", "Au", "Cs"],
  "frac_coords": [[0.000, 0.000, 0.000], [0.825, 0.825, 0.650], [0.175, 0.175, 0.350], [0.500, 0.000, 0.000], [0.371, 0.371, 0.741], [0.629, 0.629, 0.259], [0.000, 0.500, 0.000]],
  "final_energy_ev_per_atom": -2.16,
  "space_group": "Immm, No. 71"
}

=====

{
  "formula": "Cs2K2H4Au",
  "functional": "PBE",
  "state": "relaxed",
  "lattice_angstrom": [[-7.061, -1.038, -2.617], [4.784, -5.766, -1.282], [0.603, 0.361, 7.569]],
  "species": ["H", "H", "K", "K", "Au", "Cs", "H", "H", "Cs"],
  "frac_coords": [[0.000, 0.854, 0.146], [0.709, 0.854, 0.854], [0.000, 0.685, 0.685], [0.000, 0.315, 0.315], [0.000, 0.000, 0.000], [0.500, 0.250, 0.750], [0.291, 0.146, 0.146], [0.000, 0.146, 0.854], [0.500, 0.750, 0.250]],
  "final_energy_ev_per_atom": -2.24,
  "space_group": "I4/mmm, No. 139"
}

=====

{
  "formula": "Cs2KHAu",
  "functional": "PBE",
  "state": "relaxed",
  "lattice_angstrom": [[-4.533, 3.139, -2.464], [-2.358, -5.115, -2.179], [-2.865, -0.600, 4.508]],
  "species": ["H", "Cs", "K", "Cs", "Au"],
  "frac_coords": [[0.000, 0.000, 0.000], [0.000, 0.500, 0.000], [0.000, 0.000, 0.500], [0.500, 0.000, 0.000], [0.500, 0.500, 0.500]],
  "final_energy_ev_per_atom": -2.01,
  "space_group": "P4/mmm, No. 123"
}